# 1
# BaHg3 | Alexandria | PBE-GGA | relaxed
# **Total magnetization**: 0.00 μB per cell
# **VASP energy**: -1.095 eV per atom
# **Energy relative to the elements**: -0.39 eV per atom
data_BaHg3
_chemical_formula_sum 'Ba4 Hg12'
_cell_length_a 5.004
_cell_length_b 5.004
_cell_length_c 20.560
_cell_angle_alpha 90.00
_cell_angle_beta 90.00
_cell_angle_gamma 90.00
_symmetry_space_group_name_H-M 'I 4/m m m'
_symmetry_Int_Tables_number 139
_symmetry_space_group_name_Hall '-I 4 2'
loop_
_atom_site_label
_atom_site_fract_x
_atom_site_fract_y
_atom_site_fract_z
_atom_site_occupancy
Ba1 0.000 0.000 0.128 1
Hg1 0.000 0.000 0.398 1
Hg2 0.000 0.500 0.000 1
Hg3 0.000 0.500 0.250 1


# 2
# Ba5Hg3 | Alexandria | PBE-GGA | relaxed
# **Total magnetization**: 1.25 μB per cell
# **Distance to the lowest polymorph of the same formula**: 0.44 eV per formula unit
# **VASP energy**: -1.673 eV per atom
# **Energy relative to the elements**: -0.36 eV per atom
data_Ba5Hg3
_chemical_formula_sum 'Ba10 Hg6'
_cell_length_a 10.2523
_cell_length_b 10.2523
_cell_length_c 7.7361
_cell_angle_alpha 90.00
_cell_angle_beta 90.00
_cell_angle_gamma 120.00
_symmetry_space_group_name_H-M 'P 63/m c m'
_symmetry_Int_Tables_number 193
_symmetry_space_group_name_Hall '-P 6c 2'
loop_
_atom_site_label
_atom_site_fract_x
_atom_site_fract_y
_atom_site_fract_z
_atom_site_occupancy
Ba1 0.0000 0.2543 0.2500 1
Ba2 0.3333 0.6667 0.0000 1
Hg1 0.0000 0.3967 0.7500 1


# 3
# BaHg3 | Alexandria | PBE-GGA | relaxed
# **Total magnetization**: 0.00 μB per cell
# **VASP energy**: -1.044 eV per atom
# **Energy relative to the elements**: -0.34 eV per atom
data_BaHg3
_chemical_formula_sum 'Ba1 Hg3'
_cell_length_a 4.198
_cell_length_b 4.198
_cell_length_c 7.144
_cell_angle_alpha 90.00
_cell_angle_beta 90.00
_cell_angle_gamma 90.00
_symmetry_space_group_name_H-M 'P 4/m m m'
_symmetry_Int_Tables_number 123
_symmetry_space_group_name_Hall '-P 4 2'
loop_
_atom_site_label
_atom_site_fract_x
_atom_site_fract_y
_atom_site_fract_z
_atom_site_occupancy
Ba1 0.000 0.000 0.000 1
Hg1 0.000 0.000 0.500 1
Hg2 0.500 0.500 0.282 1


# 4
# Ba4Hg | Alexandria | PBE-GGA | relaxed
# **Total magnetization**: 0.01 μB per cell
# **Distance to the lowest polymorph of the same formula**: 0.27 eV per formula unit
# **VASP energy**: -1.746 eV per atom
# **Energy relative to the elements**: -0.15 eV per atom
data_Ba4Hg
_chemical_formula_sum 'Ba8 Hg2'
_cell_length_a 7.972
_cell_length_b 9.611
_cell_length_c 7.982
_cell_angle_alpha 90.00
_cell_angle_beta 108.51
_cell_angle_gamma 90.00
_symmetry_space_group_name_H-M 'P 1 2/c 1'
_symmetry_Int_Tables_number 13
_symmetry_space_group_name_Hall '-P 2yc'
loop_
_atom_site_label
_atom_site_fract_x
_atom_site_fract_y
_atom_site_fract_z
_atom_site_occupancy
Ba1 0.235 0.135 0.015 1
Ba2 0.256 0.386 0.499 1
Hg1 0.500 0.127 0.750 1


# 5
# Ba3Hg2 | Alexandria | PBE-GGA | relaxed
# **Total magnetization**: 0.00 μB per cell
# **VASP energy**: -1.654 eV per atom
# **Energy relative to the elements**: -0.38 eV per atom
data_Ba3Hg2
_chemical_formula_sum 'Ba3 Hg2'
_cell_length_a 5.9541
_cell_length_b 5.9541
_cell_length_c 7.1955
_cell_angle_alpha 90.00
_cell_angle_beta 90.00
_cell_angle_gamma 120.00
_symmetry_space_group_name_H-M 'P -3 m 1'
_symmetry_Int_Tables_number 164
_symmetry_space_group_name_Hall '-P 3 2"'
loop_
_atom_site_label
_atom_site_fract_x
_atom_site_fract_y
_atom_site_fract_z
_atom_site_occupancy
Ba1 0.0000 0.0000 0.0000 1
Ba2 0.3333 0.6667 0.3254 1
Hg1 0.3333 0.6667 0.8294 1


# 6
# Ba7Hg | Alexandria | PBE-GGA | relaxed
# **Total magnetization**: 0.01 μB per cell
# **VASP energy**: -1.713 eV per atom
# **Energy relative to the elements**: 0.01 eV per atom
data_Ba7Hg
_chemical_formula_sum 'Ba28 Hg4'
_cell_length_a 12.143
_cell_length_b 12.143
_cell_length_c 12.143
_cell_angle_alpha 90.00
_cell_angle_beta 90.00
_cell_angle_gamma 90.00
_symmetry_space_group_name_H-M 'F m -3 m'
_symmetry_Int_Tables_number 225
_symmetry_space_group_name_Hall '-F 4 2 3'
loop_
_atom_site_label
_atom_site_fract_x
_atom_site_fract_y
_atom_site_fract_z
_atom_site_occupancy
Ba1 0.000 0.000 0.000 1
Ba2 0.000 0.250 0.250 1
Hg1 0.000 0.000 0.500 1


# 7
# BaHg | Alexandria | PBE-GGA | relaxed
# **Total magnetization**: 0.00 μB per cell
# **VASP energy**: -1.470 eV per atom
# **Energy relative to the elements**: -0.36 eV per atom
data_BaHg
_chemical_formula_sum 'Ba8 Hg8'
_cell_length_a 9.812
_cell_length_b 9.812
_cell_length_c 6.694
_cell_angle_alpha 90.00
_cell_angle_beta 90.00
_cell_angle_gamma 90.00
_symmetry_space_group_name_H-M 'I 4/m'
_symmetry_Int_Tables_number 87
_symmetry_space_group_name_Hall '-I 4'
loop_
_atom_site_label
_atom_site_fract_x
_atom_site_fract_y
_atom_site_fract_z
_atom_site_occupancy
Ba1 0.054 0.291 0.000 1
Hg1 0.080 0.202 0.500 1


# 8
# BaHg | Alexandria | PBE-GGA | relaxed
# **Total magnetization**: 0.00 μB per cell
# **VASP energy**: -1.516 eV per atom
# **Energy relative to the elements**: -0.40 eV per atom
data_BaHg
_chemical_formula_sum 'Ba4 Hg4'
_cell_length_a 4.189
_cell_length_b 5.757
_cell_length_c 12.168
_cell_angle_alpha 90.00
_cell_angle_beta 90.00
_cell_angle_gamma 90.00
_symmetry_space_group_name_H-M 'I m m a'
_symmetry_Int_Tables_number 74
_symmetry_space_group_name_Hall '-I 2b 2'
loop_
_atom_site_label
_atom_site_fract_x
_atom_site_fract_y
_atom_site_fract_z
_atom_site_occupancy
Ba1 0.000 0.250 0.099 1
Hg1 0.000 0.250 0.651 1


# 9
# BaHg3 | Alexandria | PBE-GGA | relaxed
# **Total magnetization**: 0.00 μB per cell
# **VASP energy**: -0.921 eV per atom
# **Energy relative to the elements**: -0.21 eV per atom
data_BaHg3
_chemical_formula_sum 'Ba3 Hg9'
_cell_length_a 10.9371
_cell_length_b 10.9371
_cell_length_c 3.9342
_cell_angle_alpha 90.00
_cell_angle_beta 90.00
_cell_angle_gamma 120.00
_symmetry_space_group_name_H-M 'R -3 m'
_symmetry_Int_Tables_number 166
_symmetry_space_group_name_Hall '-R 3 2"'
loop_
_atom_site_label
_atom_site_fract_x
_atom_site_fract_y
_atom_site_fract_z
_atom_site_occupancy
Ba1 0.0000 0.0000 0.0000 1
Hg1 0.0000 0.5000 0.0000 1


# 10
# BaHg3 | Alexandria | PBE-GGA | relaxed
# **Total magnetization**: 0.00 μB per cell
# **VASP energy**: -1.096 eV per atom
# **Energy relative to the elements**: -0.39 eV per atom
data_BaHg3
_chemical_formula_sum 'Ba2 Hg6'
_cell_length_a 7.250
_cell_length_b 7.250
_cell_length_c 4.906
_cell_angle_alpha 90.00
_cell_angle_beta 90.00
_cell_angle_gamma 90.00
_symmetry_space_group_name_H-M 'P 4/m b m'
_symmetry_Int_Tables_number 127
_symmetry_space_group_name_Hall '-P 4 2ab'
loop_
_atom_site_label
_atom_site_fract_x
_atom_site_fract_y
_atom_site_fract_z
_atom_site_occupancy
Ba1 0.000 0.000 0.000 1
Hg1 0.000 0.500 0.000 1
Hg2 0.192 0.308 0.500 1


# 11
# BaHg3 | Alexandria | PBE-GGA | relaxed
# **Total magnetization**: 0.00 μB per cell
# **VASP energy**: -1.086 eV per atom
# **Energy relative to the elements**: -0.38 eV per atom
data_BaHg3
_chemical_formula_sum 'Ba1 Hg3'
_cell_length_a 5.053
_cell_length_b 5.053
_cell_length_c 5.064
_cell_angle_alpha 90.00
_cell_angle_beta 90.00
_cell_angle_gamma 90.00
_symmetry_space_group_name_H-M 'P 4 m m'
_symmetry_Int_Tables_number 99
_symmetry_space_group_name_Hall 'P 4 -2'
loop_
_atom_site_label
_atom_site_fract_x
_atom_site_fract_y
_atom_site_fract_z
_atom_site_occupancy
Ba1 0.000 0.000 0.000 1
Hg1 0.000 0.500 0.500 1
Hg2 0.500 0.500 0.002 1


# 12
# Ba2Hg | Alexandria | PBE-GGA | relaxed
# **Total magnetization**: 0.00 μB per cell
# **VASP energy**: -1.406 eV per atom
# **Energy relative to the elements**: -0.02 eV per atom
data_Ba2Hg
_chemical_formula_sum 'Ba4 Hg2'
_cell_length_a 5.8558
_cell_length_b 5.8558
_cell_length_c 7.7871
_cell_angle_alpha 90.00
_cell_angle_beta 90.00
_cell_angle_gamma 120.00
_symmetry_space_group_name_H-M 'P 63/m m c'
_symmetry_Int_Tables_number 194
_symmetry_space_group_name_Hall '-P 6c 2c'
loop_
_atom_site_label
_atom_site_fract_x
_atom_site_fract_y
_atom_site_fract_z
_atom_site_occupancy
Ba1 0.3333 0.6667 0.0305 1
Hg1 0.0000 0.0000 0.2500 1


Question: Which formula does entry 9 have?
Answer: BaHg3